P | ## BaReTe3 (PBE)

Data for a geometry-optimized BaReTe3 structure.

Properties
Mass density ... 7.2 Mg/m³
DOS at the Fermi energy ... 0.99 states/eV/atom

abc: 5.461 5.461 5.461
angles: 90.00 90.00 90.00
Space group Pm-3m (No. 221)
One atom of each set of equivalent atoms:
Ba: 0.000 0.000 0.000 (multiplicity 1)
Re: 0.500 0.500 0.500 (multiplicity 1)
Te: 0.000 0.500 0.500 (multiplicity 3)



Q | ## BaReTe3 (PBE)

Data for a geometry-optimized BaReTe3 structure.

Properties
Mass density ... 4.3 Mg/m³
DOS at the Fermi energy ... 0.90 states/eV/atom

abc: 6.486 6.486 6.486
angles: 90.00 90.00 90.00
Space group Pm-3m (No. 221)
One atom of each set of equivalent atoms:
Ba: 0.000 0.000 0.000 (multiplicity 1)
Re: 0.500 0.500 0.500 (multiplicity 1)
Te: 0.000 0.000 0.500 (multiplicity 3)



Least stable of them? Q.



P | ## BaReTe (PBE)

Data for a geometry-optimized BaReTe structure.

Properties
Mass density ... 5.9 Mg/m³
DOS at the Fermi energy ... 0.44 states/eV/atom

abc: 7.984 7.984 7.984
angles: 90.00 90.00 90.00
Space group F-43m (No. 216)
One atom of each set of equivalent atoms:
Ba: 0.000 0.000 0.000 (multiplicity 4)
Re: 0.250 0.250 0.750 (multiplicity 4)
Te: 0.250 0.250 0.250 (multiplicity 4)



Q | ## BaReTe (PBE)

Data for a geometry-optimized BaReTe structure.

Properties
Mass density ... 8.4 Mg/m³
DOS at the Fermi energy ... 0.81 states/eV/atom

abc: 7.087 7.087 7.087
angles: 90.00 90.00 90.00
Space group F-43m (No. 216)
One atom of each set of equivalent atoms:
Ba: 0.000 0.000 0.000 (multiplicity 4)
Re: 0.250 0.250 0.750 (multiplicity 4)
Te: 0.000 0.000 0.500 (multiplicity 4)



R | ## BaReTe (PBE)

Data for a geometry-optimized BaReTe structure.

Properties
Mass density ... 8.2 Mg/m³
DOS at the Fermi energy ... 1.30 states/eV/atom

abc: 4.5358 4.5358 5.1097
angles: 90.00 90.00 120.00
Space group P-6m2 (No. 187)
One atom of each set of equivalent atoms:
Ba: 0.0000 0.0000 0.0000 (multiplicity 1)
Re: 0.6667 0.3333 0.5000 (multiplicity 1)
Te: 0.3333 0.6667 0.5000 (multiplicity 1)



S | ## BaReTe (PBE)

Data for a geometry-optimized BaReTe structure.

Properties
Mass density ... 9.5 Mg/m³
DOS at the Fermi energy ... 1.27 states/eV/atom

abc: 3.502 3.502 12.879
angles: 90.00 90.00 90.00
Space group I4mm (No. 107)
One atom of each set of equivalent atoms:
Ba: 0.000 0.000 0.000 (multiplicity 2)
Re: 0.000 0.000 0.312 (multiplicity 2)
Te: 0.000 0.000 0.720 (multiplicity 2)



Least stable of them? P.